No. 1
# LiMg3Pb6 PBE-GGA optimized geometry
data_LiMg3Pb6
_chemical_formula_sum 'Li2 Mg6 Pb12'
_symmetry_space_group_name_H-M 'P 1 21/c 1'
_symmetry_Int_Tables_number 14
_cell_length_a 8.364
_cell_length_b 7.401
_cell_length_c 12.211
_cell_angle_alpha 90.00
_cell_angle_beta 132.09
_cell_angle_gamma 90.00
loop_
_symmetry_equiv_pos_as_xyz
'x,y,z'
'-x,-y,-z'
'-x,y+1/2,-z+1/2'
'x,-y+1/2,z+1/2'
loop_
_atom_site_label
_atom_site_fract_x
_atom_site_fract_y
_atom_site_fract_z
_atom_site_occupancy
Li1 0.000 0.000 0.000 1
Mg1 0.288 0.197 0.733 1
Mg2 0.500 0.000 0.500 1
Pb1 0.026 0.634 0.235 1
Pb2 0.228 0.665 0.063 1
Pb3 0.395 0.117 0.056 1
# ΔH_f (0 K) ... -0.007 eV/atom

No. 2
# LiMgPb6 PBE-GGA optimized geometry
data_LiMgPb6
_chemical_formula_sum 'Li1 Mg1 Pb6'
_symmetry_space_group_name_H-M 'P 4/m m m'
_symmetry_Int_Tables_number 123
_symmetry_space_group_name_Hall '-P 4 2'
_cell_length_a 4.888
_cell_length_b 4.888
_cell_length_c 9.646
_cell_angle_alpha 90.00
_cell_angle_beta 90.00
_cell_angle_gamma 90.00
loop_
_atom_site_label
_atom_site_fract_x
_atom_site_fract_y
_atom_site_fract_z
_atom_site_occupancy
Li1 0.000 0.000 0.000 1
Mg1 0.000 0.000 0.500 1
Pb1 0.000 0.500 0.247 1
Pb2 0.500 0.500 0.000 1
Pb3 0.500 0.500 0.500 1
# ΔH_f (0 K) ... -0.062 eV/atom

No. 3
# LiMg3Pb3 PBE-GGA optimized geometry
data_LiMg3Pb3
_chemical_formula_sum 'Li6 Mg18 Pb18'
_symmetry_space_group_name_H-M 'R -3'
_symmetry_Int_Tables_number 148
_symmetry_space_group_name_Hall '-R 3'
_cell_length_a 8.3953
_cell_length_b 8.3953
_cell_length_c 19.3273
_cell_angle_alpha 90.00
_cell_angle_beta 90.00
_cell_angle_gamma 120.00
loop_
_atom_site_label
_atom_site_fract_x
_atom_site_fract_y
_atom_site_fract_z
_atom_site_occupancy
Li1 0.0000 0.0000 0.1698 1
Mg1 0.0087 0.6578 0.3796 1
Pb1 0.0059 0.6832 0.5536 1
# ΔH_f (0 K) ... 0.004 eV/atom
# Energy above the most stable polymorph in this dataset ... 0.069 eV per atom

No. 4
# Li8Mg3Pb2 PBE-GGA optimized geometry
data_Li8Mg3Pb2
_chemical_formula_sum 'Li16 Mg6 Pb4'
_symmetry_space_group_name_H-M 'C 1 2/m 1'
_symmetry_Int_Tables_number 12
_cell_length_a 12.292
_cell_length_b 9.380
_cell_length_c 4.940
_cell_angle_alpha 90.00
_cell_angle_beta 111.68
_cell_angle_gamma 90.00
loop_
_symmetry_equiv_pos_as_xyz
'x,y,z'
'-x,-y,-z'
'-x,y,-z'
'x,-y,z'
'x+1/2,y+1/2,z'
'-x+1/2,-y+1/2,-z'
'-x+1/2,y+1/2,-z'
'x+1/2,-y+1/2,z'
loop_
_atom_site_label
_atom_site_fract_x
_atom_site_fract_y
_atom_site_fract_z
_atom_site_occupancy
Li1 0.060 0.000 0.266 1
Li2 0.168 0.255 0.172 1
Li3 0.182 0.000 0.810 1
Mg1 0.000 0.265 0.500 1
Mg2 0.000 0.500 0.000 1
Pb1 0.188 0.500 0.598 1
# ΔH_f (0 K) ... -0.133 eV/atom

No. 5
# Li2MgPb PBE-GGA optimized geometry
data_Li2MgPb
_chemical_formula_sum 'Li6 Mg3 Pb3'
_symmetry_space_group_name_H-M 'R 3 m'
_symmetry_Int_Tables_number 160
_symmetry_space_group_name_Hall 'R 3 -2"'
_cell_length_a 3.3075
_cell_length_b 3.3075
_cell_length_c 29.0899
_cell_angle_alpha 90.00
_cell_angle_beta 90.00
_cell_angle_gamma 120.00
loop_
_atom_site_label
_atom_site_fract_x
_atom_site_fract_y
_atom_site_fract_z
_atom_site_occupancy
Li1 0.0000 0.0000 0.0000 1
Li2 0.0000 0.0000 0.1617 1
Mg1 0.0000 0.0000 0.5813 1
Pb1 0.0000 0.0000 0.7473 1
# ΔH_f (0 K) ... -0.090 eV/atom

No. 6
# LiMg7Pb4 PBE-GGA optimized geometry
data_LiMg7Pb4
_chemical_formula_sum 'Li1 Mg7 Pb4'
_symmetry_space_group_name_H-M 'P -3 m 1'
_symmetry_Int_Tables_number 164
_symmetry_space_group_name_Hall '-P 3 2"'
_cell_length_a 5.1241
_cell_length_b 5.1241
_cell_length_c 13.0926
_cell_angle_alpha 90.00
_cell_angle_beta 90.00
_cell_angle_gamma 120.00
loop_
_atom_site_label
_atom_site_fract_x
_atom_site_fract_y
_atom_site_fract_z
_atom_site_occupancy
Li1 0.0000 0.0000 0.0000 1
Mg1 0.0000 0.0000 0.2459 1
Mg2 0.0000 0.0000 0.5000 1
Mg3 0.3333 0.6667 0.6541 1
Mg4 0.3333 0.6667 0.8998 1
Pb1 0.3333 0.6667 0.1380 1
Pb2 0.3333 0.6667 0.4026 1
# ΔH_f (0 K) ... -0.038 eV/atom
# Energy above the most stable polymorph in this dataset ... 0.000 eV per atom

No. 7
# LiMg2Pb9 PBE-GGA optimized geometry
data_LiMg2Pb9
_chemical_formula_sum 'Li1 Mg2 Pb9'
_symmetry_space_group_name_H-M 'P 4/m m m'
_symmetry_Int_Tables_number 123
_symmetry_space_group_name_Hall '-P 4 2'
_cell_length_a 4.878
_cell_length_b 4.878
_cell_length_c 14.613
_cell_angle_alpha 90.00
_cell_angle_beta 90.00
_cell_angle_gamma 90.00
loop_
_atom_site_label
_atom_site_fract_x
_atom_site_fract_y
_atom_site_fract_z
_atom_site_occupancy
Li1 0.000 0.000 0.000 1
Mg1 0.000 0.000 0.331 1
Pb1 0.000 0.500 0.165 1
Pb2 0.000 0.500 0.500 1
Pb3 0.500 0.500 0.000 1
Pb4 0.500 0.500 0.333 1
# ΔH_f (0 K) ... -0.037 eV/atom

No. 8
# Li2Mg3Pb8 PBE-GGA optimized geometry
data_Li2Mg3Pb8
_chemical_formula_sum 'Li2 Mg3 Pb8'
_symmetry_space_group_name_H-M 'P 1 2/m 1'
_symmetry_Int_Tables_number 10
_cell_length_a 8.829
_cell_length_b 4.905
_cell_length_c 8.981
_cell_angle_alpha 90.00
_cell_angle_beta 112.78
_cell_angle_gamma 90.00
loop_
_symmetry_equiv_pos_as_xyz
'x,y,z'
'-x,-y,-z'
'-x,y,-z'
'x,-y,z'
loop_
_atom_site_label
_atom_site_fract_x
_atom_site_fract_y
_atom_site_fract_z
_atom_site_occupancy
Li1 0.247 0.000 0.256 1
Mg1 0.269 0.500 0.769 1
Mg2 0.500 0.000 0.000 1
Pb1 0.110 0.000 0.878 1
Pb2 0.119 0.500 0.385 1
Pb3 0.349 0.500 0.145 1
Pb4 0.377 0.000 0.610 1
# ΔH_f (0 K) ... -0.071 eV/atom